Record 1
Below is Tb2YSc3As6 after structural relaxation, with properties calculated at the GGA-PBE level.

Calculated values
The value obtained for the magnetic moment is 0.0 μB per formula unit. The value obtained for the density of states at the Fermi level is 0.172 states/eV per atom. The raw total energy comes out at -6.67 eV per atom. As for the crystal system: monoclinic. As for the theoretical density: 6.021 g/cm3. As for the calculated formation energy: -17.37 eV per formula unit.

Cell lengths 6.9528, 6.9528, 6.9269 Å; angles 99.62, 99.62, 120.00 degrees
Fractional positions:
Tb 0.3334 0.6666 0.0000
Tb 0.6666 0.3334 0.0000
As 0.2442 0.2442 0.7338
As 0.4216 0.0886 0.2660
As 0.7558 0.7558 0.2662
As 0.5784 0.9114 0.7340
As 0.9114 0.5784 0.7340
As 0.0886 0.4216 0.2660
Sc 0.8332 0.1668 0.5000
Sc 0.1668 0.8332 0.5000
Sc 0.5000 0.5000 0.5000
Y 0.0000 0.0000 0.0000

***

Record 2
Below is TbYSc2As4 after structural relaxation, with properties calculated at the GGA-PBE level.

Calculated values
The value obtained for the magnetic moment is 0.0 μB per formula unit. The value obtained for the density of states at the Fermi level is 0.127 states/eV per atom. The raw total energy comes out at -6.74 eV per atom. As for the crystal system: monoclinic. As for the theoretical density: 5.813 g/cm3. As for the calculated formation energy: -11.60 eV per formula unit.

Cell lengths 4.0138, 6.9287, 6.9474 Å; angles 70.47, 90.00, 90.00 degrees
Fractional positions:
Sc 0.0000 0.0000 0.0000
Sc 0.5000 0.0000 0.5000
As 0.0000 0.7660 0.7444
As 0.0000 0.2340 0.2556
As 0.5000 0.2342 0.7549
As 0.5000 0.7658 0.2451
Y 0.0000 0.5000 0.5000
Tb 0.5000 0.5000 0.0000

***

Record 3
Below is Tb3Zr2ScAs6 after structural relaxation, with properties calculated at the GGA-PBE level.

Calculated values
The value obtained for the magnetic moment is 0.0 μB per formula unit. The value obtained for the density of states at the Fermi level is 0.371 states/eV per atom. The raw total energy comes out at -6.81 eV per atom. As for the crystal system: monoclinic. As for the theoretical density: 7.067 g/cm3. As for the calculated formation energy: -16.45 eV per formula unit.

Cell lengths 3.9888, 8.0140, 8.9502 Å; angles 103.26, 102.88, 90.00 degrees
Fractional positions:
As 0.6633 0.0926 0.3266
As 0.9962 0.7594 0.9925
As 0.3302 0.4234 0.6603
As 0.0038 0.2406 0.0075
As 0.6698 0.5766 0.3397
As 0.3367 0.9074 0.6734
Tb 0.5000 0.5000 0.0000
Tb 0.1661 0.8342 0.3322
Tb 0.8339 0.1658 0.6678
Zr 0.8334 0.6652 0.6669
Zr 0.1666 0.3348 0.3331
Sc 0.5000 0.0000 0.0000

***

Record 4
Below is TbZr2ScAs4 after structural relaxation, with properties calculated at the GGA-PBE level.

Calculated values
The value obtained for the magnetic moment is 0.0 μB per formula unit. The value obtained for the density of states at the Fermi level is 0.538 states/eV per atom. The raw total energy comes out at -7.11 eV per atom. As for the crystal system: monoclinic. As for the theoretical density: 6.602 g/cm3. As for the calculated formation energy: -10.19 eV per formula unit.

Cell lengths 3.9160, 6.7877, 6.8768 Å; angles 109.27, 90.00, 90.00 degrees
Fractional positions:
As 0.0000 0.7599 0.2586
As 0.0000 0.2401 0.7414
As 0.5000 0.2441 0.2533
As 0.5000 0.7559 0.7467
Tb 0.5000 0.5000 0.0000
Zr 0.5000 0.0000 0.5000
Zr 0.0000 0.5000 0.5000
Sc 0.0000 0.0000 0.0000

***

Record 5
Below is ScTc2As after structural relaxation, with properties calculated at the GGA-PBE level.

Calculated values
The value obtained for the magnetic moment is 0.0 μB per formula unit. The value obtained for the density of states at the Fermi level is 0.654 states/eV per atom. The raw total energy comes out at -8.14 eV per atom. As for the crystal system: monoclinic. As for the theoretical density: 8.094 g/cm3. As for the calculated formation energy: -0.84 eV per formula unit.

Cell lengths 4.8103, 4.8103, 4.7341 Å; angles 72.75, 72.75, 38.55 degrees
Fractional positions:
Tc 0.4785 0.4785 0.5448
Tc 0.0215 0.0215 0.9552
As 0.7500 0.7500 0.7500
Sc 0.2500 0.2500 0.2500

***

Record 6
Below is ScTcAs2 after structural relaxation, with properties calculated at the GGA-PBE level.

Calculated values
The value obtained for the magnetic moment is 0.0 μB per formula unit. The value obtained for the density of states at the Fermi level is 0.614 states/eV per atom. The raw total energy comes out at -6.97 eV per atom. As for the crystal system: monoclinic. As for the theoretical density: 7.098 g/cm3. As for the calculated formation energy: -1.87 eV per formula unit. Its distance to the lowest polymorph of the same formula is 160 meV per atom.

Cell lengths 4.9344, 4.9344, 4.6334 Å; angles 77.12, 77.12, 38.68 degrees
Fractional positions:
Sc 0.4943 0.4943 0.5586
Tc 0.2660 0.2660 0.1522
As 0.9886 0.9886 0.0628
As 0.7511 0.7511 0.7264